Below is a relaxed Tm2MnCrO6 crystal, with properties calculated at the PBE+U level.

```
Tm2MnCrO6
1.0
5.389 0.000 0.000
2.676 4.679 0.000
2.656 1.553 4.545
Tm Mn Cr O
2 1 1 6
Direct
0.000 0.000 0.000 Tm
0.498 0.505 0.500 Tm
0.780 0.783 0.656 Mn
0.279 0.283 0.159 Cr
0.055 0.429 0.874 O
0.137 0.927 0.379 O
0.426 0.641 0.877 O
0.560 0.139 0.378 O
0.637 0.060 0.876 O
0.924 0.562 0.376 O
```

Calculated values
magnetization = 5.000 μB/cell
theoretical density = 7.84 g cm⁻³
space group = P1
calculated total energy = -7.938 eV per atom